# 1
Entry from Alexandria: Cs2BaReBi after structural relaxation (PBE-GGA).

Calculated values
**E**: -13.03 eV per formula unit
**D(E_F)**: 1.0861 states/eV per atom

a = 7.273 Å, b = 7.273 Å, c = 5.292 Å
α = 90.00°, β = 90.00°, γ = 90.00°
Space group P4/mmm (No. 123)
Asymmetric unit:
Cs 0.000 0.500 0.000 (multiplicity 2)
Ba 0.000 0.000 0.000 (multiplicity 1)
Re 0.000 0.000 0.500 (multiplicity 1)
Bi 0.500 0.500 0.500 (multiplicity 1)


# 2
Entry from Alexandria: TeOsPb2 after structural relaxation (PBE-GGA).

Calculated values
**E**: -18.51 eV per formula unit
**D(E_F)**: 0.6674 states/eV per atom
**ΔE_f (raw)**: 3.28 eV/f.u.

a = 7.244 Å, b = 7.244 Å, c = 7.244 Å
α = 90.00°, β = 90.00°, γ = 90.00°
Space group F-43m (No. 216)
Asymmetric unit:
Te 0.000 0.000 0.000 (multiplicity 4)
Os 0.250 0.250 0.750 (multiplicity 4)
Pb 0.000 0.000 0.500 (multiplicity 4)
Pb 0.250 0.250 0.250 (multiplicity 4)